# 1
The following is a DFT calculation (PBE) of a geometry-optimized NbMo2W structure.

Cell lengths 4.5251, 4.5251, 4.5251 Å; angles 60.00, 60.00, 60.00 degrees
Closest atoms and distances in Å follow each position.
Sites, in units of the cell vectors:
Nb (0.0000, 0.0000, 0.0000)  8 Mo 2.77
Mo (0.2500, 0.2500, 0.2500)  4 Nb 2.77, 4 W 2.77
Mo (0.7500, 0.7500, 0.7500)  4 Nb 2.77, 4 W 2.77
W (0.5000, 0.5000, 0.5000)  8 Mo 2.77

Properties
* energy of formation: -0.099 eV per atom
* energy above the most stable polymorph in this dataset: 0.0008 eV per atom
* uncorrected energy: -11.286 eV per atom
* space-group type: Fm-3m

---

# 2
The following is a DFT calculation (PBE) of a geometry-optimized NbMo2W structure.

Cell lengths 4.5246, 4.5246, 4.5246 Å; angles 60.00, 60.00, 60.00 degrees
Closest atoms and distances in Å follow each position.
Sites, in units of the cell vectors:
Nb (0.0000, 0.0000, 0.0000)  8 Mo 2.77
Mo (0.2500, 0.2500, 0.2500)  4 Nb 2.77, 4 W 2.77
Mo (0.7500, 0.7500, 0.7500)  4 W 2.77, 4 Nb 2.77
W (0.5000, 0.5000, 0.5000)  8 Mo 2.77

Properties
* energy of formation: -0.100 eV per atom
* energy above the most stable polymorph in this dataset: 0.0000 eV per atom
* uncorrected energy: -11.287 eV per atom
* space-group type: Fm-3m

---

# 3
The following is a DFT calculation (PBE) of a geometry-optimized Nb3MoW structure.

Cell lengths 7.0974, 7.0974, 5.6423 Å; angles 97.56, 97.56, 37.67 degrees
Closest atoms and distances in Å follow each position.
Sites, in units of the cell vectors:
Nb (0.0039, 0.0039, 0.2521)  1 Mo 2.76, 2 W 2.77, 5 Nb 2.81-2.89
Nb (0.2017, 0.2017, 0.6501)  4 Mo 2.80-2.83, 3 W 2.83-2.84, 1 Nb 2.89
Nb (0.3957, 0.3957, 0.0483)  3 Mo 2.78-2.79, 2 W 2.81-2.83, 3 Nb 2.87-2.93
Nb (0.6043, 0.6043, 0.9517)  3 Mo 2.78-2.79, 2 W 2.81-2.83, 3 Nb 2.87-2.93
Nb (0.7983, 0.7983, 0.3499)  4 Mo 2.80-2.83, 3 W 2.83-2.84, 1 Nb 2.89
Nb (0.9961, 0.9961, 0.7479)  1 Mo 2.76, 2 W 2.77, 5 Nb 2.81-2.89
Mo (0.1996, 0.1996, 0.1518)  8 Nb 2.76-2.83
Mo (0.8004, 0.8004, 0.8482)  8 Nb 2.76-2.83
W (0.4026, 0.4026, 0.5486)  1 W 2.75, 7 Nb 2.77-2.84
W (0.5974, 0.5974, 0.4514)  1 W 2.75, 7 Nb 2.77-2.84

Properties
* energy of formation: -0.073 eV per atom
* uncorrected energy: -10.891 eV per atom
* space-group type: C2/m

---

# 4
The following is a DFT calculation (PBE) of a geometry-optimized NbMo2W structure.

Cell lengths 4.5245, 4.5245, 4.5245 Å; angles 60.00, 60.00, 60.00 degrees
Closest atoms and distances in Å follow each position.
Sites, in units of the cell vectors:
Nb (0.0000, 0.0000, 0.0000)  4 W 2.77, 4 Mo 2.77
Mo (0.2500, 0.2500, 0.2500)  4 Nb 2.77, 4 Mo 2.77
Mo (0.5000, 0.5000, 0.5000)  4 Mo 2.77, 4 W 2.77
W (0.7500, 0.7500, 0.7500)  4 Nb 2.77, 4 Mo 2.77

Properties
* energy of formation: -0.062 eV per atom
* energy above the most stable polymorph in this dataset: 0.0373 eV per atom
* uncorrected energy: -11.250 eV per atom
* space-group type: F-43m

---

# 5
The following is a DFT calculation (PBE) of a geometry-optimized Nb2Mo2W structure.

Cell lengths 6.9319, 6.9319, 6.9319 Å; angles 148.43, 148.43, 45.24 degrees
Closest atoms and distances in Å follow each position.
Sites, in units of the cell vectors:
Nb (0.2500, 0.7500, 0.5000)  4 Nb 2.67, 4 Mo 2.80
Nb (0.7500, 0.2500, 0.5000)  4 Nb 2.67, 4 Mo 2.80
Mo (0.0880, 0.0880, 0.0000)  1 Mo 2.25
Mo (0.9120, 0.9120, 0.0000)  1 Mo 2.25
W (0.5000, 0.5000, 0.0000)  8 Mo 2.89

Properties
* energy of formation: 1.039 eV per atom
* uncorrected energy: -9.930 eV per atom
* space-group type: I4/mmm

---

# 6
The following is a DFT calculation (PBE) of a geometry-optimized NbMo2W structure.

Cell lengths 4.5260, 4.5260, 3.1990 Å; angles 90.00, 90.00, 90.00 degrees
Closest atoms and distances in Å follow each position.
Sites, in units of the cell vectors:
Nb (0.0000, 0.0000, 0.0000)  8 Mo 2.77
Mo (0.0000, 0.5000, 0.5000)  4 Nb 2.77, 4 W 2.77
Mo (0.5000, 0.0000, 0.5000)  4 Nb 2.77, 4 W 2.77
W (0.5000, 0.5000, 0.0000)  8 Mo 2.77

Properties
* energy of formation: -0.090 eV per atom
* energy above the most stable polymorph in this dataset: 0.0098 eV per atom
* uncorrected energy: -11.277 eV per atom
* space-group type: P4/mmm

---

# 7
The following is a DFT calculation (PBE) of a geometry-optimized NbMoW6 structure.

Cell lengths 4.5158, 4.5158, 6.3956 Å; angles 90.00, 90.00, 90.00 degrees
Closest atoms and distances in Å follow each position.
Sites, in units of the cell vectors:
Nb (0.0000, 0.0000, 0.0000)  8 W 2.77
Mo (0.5000, 0.5000, 0.5000)  8 W 2.76
W (0.0000, 0.0000, 0.5000)  8 W 2.76
W (0.0000, 0.5000, 0.2522)  4 W 2.76-2.77, 2 Mo 2.76, 2 Nb 2.77
W (0.0000, 0.5000, 0.7478)  2 Mo 2.76, 4 W 2.76-2.77, 2 Nb 2.77
W (0.5000, 0.0000, 0.2522)  4 W 2.76-2.77, 2 Mo 2.76, 2 Nb 2.77
W (0.5000, 0.0000, 0.7478)  2 Mo 2.76, 4 W 2.76-2.77, 2 Nb 2.77
W (0.5000, 0.5000, 0.0000)  8 W 2.77

Properties
* energy of formation: -0.038 eV per atom
* uncorrected energy: -12.376 eV per atom
* space-group type: P4/mmm

---

# 8
The following is a DFT calculation (PBE) of a geometry-optimized YNbMo structure.

Cell lengths 4.5978, 4.5978, 4.5978 Å; angles 60.00, 60.00, 60.00 degrees
Closest atoms and distances in Å follow each position.
Sites, in units of the cell vectors:
Y (0.0000, 0.0000, 0.0000)  4 Nb 2.82
Nb (0.2500, 0.2500, 0.2500)  4 Mo 2.82, 4 Y 2.82
Mo (0.5000, 0.5000, 0.5000)  4 Nb 2.82

Properties
* energy of formation: 0.882 eV per atom
* uncorrected energy: -8.253 eV per atom
* space-group type: F-43m

---

# 9
The following is a DFT calculation (PBE) of a geometry-optimized Y2NbMo structure.

Cell lengths 4.9926, 4.9926, 4.9926 Å; angles 60.00, 60.00, 60.00 degrees
Closest atoms and distances in Å follow each position.
Sites, in units of the cell vectors:
Y (0.0000, 0.0000, 0.0000)  4 Nb 3.06, 4 Y 3.06
Y (0.2500, 0.2500, 0.2500)  4 Mo 3.06, 4 Y 3.06
Nb (0.7500, 0.7500, 0.7500)  4 Mo 3.06, 4 Y 3.06
Mo (0.5000, 0.5000, 0.5000)  4 Nb 3.06, 4 Y 3.06

Properties
* energy of formation: 0.434 eV per atom
* uncorrected energy: -8.034 eV per atom
* space-group type: F-43m

---

# 10
The following is a DFT calculation (PBE) of a geometry-optimized NbZn2Mo structure.

Cell lengths 4.4771, 4.4771, 4.4771 Å; angles 60.00, 60.00, 60.00 degrees
Closest atoms and distances in Å follow each position.
Sites, in units of the cell vectors:
Nb (0.0000, 0.0000, 0.0000)  4 Zn 2.74, 4 Mo 2.74
Zn (0.5000, 0.5000, 0.5000)  4 Zn 2.74, 4 Mo 2.74
Zn (0.7500, 0.7500, 0.7500)  4 Nb 2.74, 4 Zn 2.74
Mo (0.2500, 0.2500, 0.2500)  4 Nb 2.74, 4 Zn 2.74

Properties
* energy of formation: 0.265 eV per atom
* uncorrected energy: -5.603 eV per atom
* space-group type: F-43m

---

# 11
The following is a DFT calculation (PBE) of a geometry-optimized ZrNbMo2 structure.

Cell lengths 4.6351, 4.6351, 4.6351 Å; angles 60.00, 60.00, 60.00 degrees
Closest atoms and distances in Å follow each position.
Sites, in units of the cell vectors:
Zr (0.0000, 0.0000, 0.0000)  4 Nb 2.84, 4 Mo 2.84
Nb (0.7500, 0.7500, 0.7500)  4 Mo 2.84, 4 Zr 2.84
Mo (0.2500, 0.2500, 0.2500)  4 Zr 2.84, 4 Mo 2.84
Mo (0.5000, 0.5000, 0.5000)  4 Nb 2.84, 4 Mo 2.84

Properties
* energy of formation: 0.029 eV per atom
* uncorrected energy: -10.056 eV per atom
* space-group type: F-43m

---

# 12
The following is a DFT calculation (PBE) of a geometry-optimized Nd2Mo structure.

Cell lengths 4.9637, 4.9637, 4.9637 Å; angles 60.00, 60.00, 60.00 degrees
Closest atoms and distances in Å follow each position.
Sites, in units of the cell vectors:
Nd (0.2500, 0.2500, 0.2500)  4 Mo 3.04
Nd (0.7500, 0.7500, 0.7500)  4 Mo 3.04
Mo (0.0000, 0.0000, 0.0000)  8 Nd 3.04

Properties
* energy of formation: 0.656 eV per atom
* energy above the most stable polymorph in this dataset: 0.0000 eV per atom
* uncorrected energy: -6.135 eV per atom
* space-group type: Fm-3m

---

# 13
The following is a DFT calculation (PBE) of a geometry-optimized Nd2Mo structure.

Cell lengths 6.0757, 6.0757, 6.0757 Å; angles 60.00, 60.00, 60.00 degrees
Closest atoms and distances in Å follow each position.
Sites, in units of the cell vectors:
Nd (0.0000, 0.0000, 0.0000)  6 Nd 3.04
Nd (0.0000, 0.0000, 0.5000)  6 Nd 3.04
Nd (0.0000, 0.5000, 0.0000)  6 Nd 3.04
Nd (0.5000, 0.0000, 0.0000)  6 Nd 3.04
Mo (0.3750, 0.3750, 0.3750)  12 Nd 3.56, 4 Mo 3.72
Mo (0.6250, 0.6250, 0.6250)  12 Nd 3.56, 4 Mo 3.72

Properties
* energy of formation: 1.319 eV per atom
* energy above the most stable polymorph in this dataset: 0.6634 eV per atom
* uncorrected energy: -5.472 eV per atom
* space-group type: Fd-3m

---

# 14
The following is a DFT calculation (PBE) of a geometry-optimized NdMo structure.

Cell lengths 4.4244, 4.4244, 4.4244 Å; angles 60.00, 60.00, 60.00 degrees
Closest atoms and distances in Å follow each position.
Sites, in units of the cell vectors:
Nd (0.0000, 0.0000, 0.0000)  4 Mo 2.71
Mo (0.2500, 0.2500, 0.2500)  4 Nd 2.71

Properties
* energy of formation: 2.357 eV per atom
* energy above the most stable polymorph in this dataset: 1.4118 eV per atom
* uncorrected energy: -5.448 eV per atom
* space-group type: F-43m

---

# 15
The following is a DFT calculation (PBE) of a geometry-optimized NdMo structure.

Cell lengths 3.0652, 3.0652, 5.4604 Å; angles 90.00, 90.00, 120.00 degrees
Closest atoms and distances in Å follow each position.
Sites, in units of the cell vectors:
Nd (0.0000, 0.0000, 0.0000)  6 Nd 3.07, 6 Mo 3.25
Mo (0.3333, 0.6667, 0.5000)  6 Mo 3.07, 6 Nd 3.25

Properties
* energy of formation: 0.945 eV per atom
* energy above the most stable polymorph in this dataset: 0.0000 eV per atom
* uncorrected energy: -6.860 eV per atom
* space-group type: P-6m2

---

# 16
The following is a DFT calculation (PBE) of a geometry-optimized Nd2Mo structure.

Cell lengths 8.4012, 8.4012, 8.4012 Å; angles 60.00, 60.00, 60.00 degrees
Closest atoms and distances in Å follow each position.
Sites, in units of the cell vectors:
Nd (0.0000, 0.0000, 0.0000)  2 Mo 2.57
Nd (0.0000, 0.0000, 0.5000)  2 Mo 2.57
Nd (0.0000, 0.5000, 0.0000)  2 Mo 2.57
Nd (0.5000, 0.0000, 0.0000)  2 Mo 2.57
Mo (0.1250, 0.1250, 0.1250)  4 Nd 2.57
Mo (0.8750, 0.8750, 0.8750)  4 Nd 2.57

Properties
* energy of formation: 1.619 eV per atom
* energy above the most stable polymorph in this dataset: 0.9632 eV per atom
* uncorrected energy: -5.172 eV per atom
* space-group type: Fd-3m

---

# 17
The following is a DFT calculation (PBE) of a geometry-optimized NdMo structure.

Cell lengths 4.1550, 4.1550, 4.1550 Å; angles 60.00, 60.00, 60.00 degrees
Closest atoms and distances in Å follow each position.
Sites, in units of the cell vectors:
Nd (0.0000, 0.0000, 0.0000)  6 Mo 2.94
Mo (0.5000, 0.5000, 0.5000)  6 Nd 2.94

Properties
* energy of formation: 1.462 eV per atom
* energy above the most stable polymorph in this dataset: 0.5170 eV per atom
* uncorrected energy: -6.343 eV per atom
* space-group type: Fm-3m

---

# 18
The following is a DFT calculation (PBE) of a geometry-optimized NdNiMo structure.

Cell lengths 4.5008, 4.5008, 4.5008 Å; angles 60.00, 60.00, 60.00 degrees
Closest atoms and distances in Å follow each position.
Sites, in units of the cell vectors:
Nd (0.0000, 0.0000, 0.0000)  4 Ni 2.76
Ni (0.7500, 0.7500, 0.7500)  4 Mo 2.76, 4 Nd 2.76
Mo (0.5000, 0.5000, 0.5000)  4 Ni 2.76

Properties
* energy of formation: 0.663 eV per atom
* uncorrected energy: -6.396 eV per atom
* space-group type: F-43m

---

# 19
The following is a DFT calculation (PBE) of a geometry-optimized NdNpMo structure.

Cell lengths 4.7755, 4.7755, 4.7755 Å; angles 60.00, 60.00, 60.00 degrees
Closest atoms and distances in Å follow each position.
Sites, in units of the cell vectors:
Nd (0.0000, 0.0000, 0.0000)  4 Mo 2.92
Np (0.5000, 0.5000, 0.5000)  4 Mo 2.92
Mo (0.2500, 0.2500, 0.2500)  4 Nd 2.92, 4 Np 2.92

Properties
* energy of formation: 0.866 eV per atom
* energy above the most stable polymorph in this dataset: 0.0000 eV per atom
* uncorrected energy: -8.594 eV per atom
* space-group type: F-43m

---

# 20
The following is a DFT calculation (PBE) of a geometry-optimized NdMoOs structure.

Cell lengths 5.0098, 5.0098, 2.7410 Å; angles 90.00, 90.00, 120.00 degrees
Closest atoms and distances in Å follow each position.
Sites, in units of the cell vectors:
Nd (0.0000, 0.0000, 0.0000)  2 Nd 2.74, 3 Mo 2.89, 3 Os 2.89
Mo (0.6667, 0.3333, 0.0000)  2 Mo 2.74, 3 Nd 2.89, 3 Os 2.89
Os (0.3333, 0.6667, 0.0000)  2 Os 2.74, 3 Nd 2.89, 3 Mo 2.89

Properties
* energy of formation: 1.225 eV per atom
* energy above the most stable polymorph in this dataset: 0.0000 eV per atom
* uncorrected energy: -7.720 eV per atom
* space-group type: P-6m2